Record 1
Here is crystalline CuSi2Sb at its relaxed geometry from the Alexandria database. Energies are from PBE.

```
CuSi2Sb
1.0
-2.855 2.855 5.636
2.855 -2.855 5.636
2.855 2.855 -5.636
Cu Si Sb
2 4 2
direct
0.000 0.000 0.000 Cu
0.750 0.250 0.500 Cu
0.073 0.625 0.948 Si
0.375 0.323 0.448 Si
0.677 0.125 0.052 Si
0.875 0.927 0.552 Si
0.250 0.750 0.500 Sb
0.500 0.500 0.000 Sb
```

Results
- Space group: I-42d
- ΔE_f (raw): 1.40 eV/f.u.
- Mass density: 4.4 g cm⁻³


Record 2
Here is crystalline TbScS2 at its relaxed geometry from the Alexandria database. Energies are from PBE.

```
TbScS2
1.0
1.868 1.078 6.556
-1.868 1.078 6.556
0.000 -2.157 6.556
Tb Sc S
1 1 2
direct
0.000 0.000 0.000 Tb
0.822 0.822 0.822 Sc
0.239 0.239 0.239 S
0.419 0.419 0.419 S
```

Results
- Space group: R3m
- Energy above the lowest structure with this stoichiometry: 0.010 eV per atom
- ΔE_f (raw): -7.68 eV/f.u.
- Mass density: 5.6 g cm⁻³


Record 3
Here is crystalline CuI at its relaxed geometry from the Alexandria database. Energies are from PBE.

```
CuI
1.0
4.178 0.000 0.000
0.000 4.148 0.000
-0.157 0.000 7.036
Cu I
2 2
direct
0.205 0.250 0.499 Cu
0.795 0.750 0.501 Cu
0.273 0.750 0.263 I
0.727 0.250 0.737 I
```

Results
- Space group: P2_1/m
- ΔE_f (raw): -0.27 eV/f.u.
- Mass density: 5.2 g cm⁻³


Record 4
Here is crystalline AcMg2AlCd2 at its relaxed geometry from the Alexandria database. Energies are from PBE.

```
AcMg2AlCd2
1.0
-2.667 2.667 6.110
2.667 -2.667 6.110
2.667 2.667 -6.110
Ac Mg Al Cd
1 2 1 2
direct
0.000 0.000 0.000 Ac
0.250 0.750 0.500 Mg
0.750 0.250 0.500 Mg
0.500 0.500 0.000 Al
0.292 0.292 0.000 Cd
0.708 0.708 0.000 Cd
```

Results
- Space group: I4/mmm
- ΔH_f (0 K): 0.778 eV/f.u.
- Mass density: 5.0 g cm⁻³


Record 5
Here is crystalline Cd5Pt3 at its relaxed geometry from the Alexandria database. Energies are from PBE.

```
Cd5Pt3
1.0
3.035 0.000 0.000
0.000 3.035 0.000
0.000 0.000 16.246
Cd Pt
5 3
direct
0.000 0.000 0.000 Cd
0.000 0.000 0.236 Cd
0.000 0.000 0.764 Cd
0.500 0.500 0.382 Cd
0.500 0.500 0.618 Cd
0.000 0.000 0.500 Pt
0.500 0.500 0.119 Pt
0.500 0.500 0.881 Pt
```

Results
- Space group: P4/mmm
- ΔH_f (0 K): -1.856 eV/f.u.
- Energy above the lowest structure with this stoichiometry: 0.027 eV per atom
- Mass density: 12.7 g cm⁻³


Record 6
Here is crystalline TlSiTe4Au2 at its relaxed geometry from the Alexandria database. Energies are from PBE.

```
TlSiTe4Au2
1.0
-3.581 3.742 4.898
3.581 -3.742 4.898
3.581 3.742 -4.898
Tl Si Te Au
1 1 4 2
direct
0.000 0.000 0.000 Tl
0.500 0.000 0.500 Si
0.149 0.046 0.514 Te
0.468 0.954 0.103 Te
0.532 0.635 0.486 Te
0.851 0.365 0.897 Te
0.298 0.500 0.798 Au
0.702 0.500 0.202 Au
```

Results
- Space group: I222
- ΔE_f (raw): -0.54 eV/f.u.
- Mass density: 7.2 g cm⁻³


Record 7
Here is crystalline Nb5In at its relaxed geometry from the Alexandria database. Energies are from PBE.

```
Nb5In
1.0
3.422 0.000 0.000
0.000 3.422 0.000
0.000 0.000 9.634
Nb In
5 1
direct
0.000 0.000 0.000 Nb
0.000 0.000 0.323 Nb
0.000 0.000 0.677 Nb
0.500 0.500 0.169 Nb
0.500 0.500 0.831 Nb
0.500 0.500 0.500 In
```

Results
- Space group: P4/mmm
- ΔH_f (0 K): -0.128 eV/f.u.
- Energy above the lowest structure with this stoichiometry: 0.000 eV per atom
- Mass density: 8.5 g cm⁻³


Record 8
Here is crystalline LaNdCuNi at its relaxed geometry from the Alexandria database. Energies are from PBE.

```
LaNdCuNi
1.0
0.000 3.574 3.574
3.574 0.000 3.574
3.574 3.574 0.000
La Nd Cu Ni
1 1 1 1
direct
0.000 0.000 0.000 La
0.500 0.500 0.500 Nd
0.250 0.250 0.250 Cu
0.750 0.750 0.750 Ni
```

Results
- Space group: F-43m
- ΔH_f (0 K): -0.705 eV/f.u.
- Energy above the lowest structure with this stoichiometry: 0.072 eV per atom
- Mass density: 7.4 g cm⁻³


Record 9
Here is crystalline YMgZn3 at its relaxed geometry from the Alexandria database. Energies are from PBE.

```
YMgZn3
1.0
4.812 0.000 0.000
0.000 4.812 0.000
0.000 0.000 4.812
Y Mg Zn
1 1 3
direct
0.000 0.000 0.000 Y
0.500 0.500 0.500 Mg
0.000 0.500 0.500 Zn
0.500 0.000 0.500 Zn
0.500 0.500 0.000 Zn
```

Results
- Space group: Pm-3m
- ΔH_f (0 K): 1.354 eV/f.u.
- Energy above the lowest structure with this stoichiometry: 0.541 eV per atom
- Mass density: 4.6 g cm⁻³


Record 10
Here is crystalline TbCdIn at its relaxed geometry from the Alexandria database. Energies are from PBE.

```
TbCdIn
1.0
-1.793 1.793 5.982
1.793 -1.793 5.982
1.793 1.793 -5.982
Tb Cd In
1 1 1
direct
0.000 0.000 0.000 Tb
0.329 0.329 0.000 Cd
0.677 0.677 0.000 In
```

Results
- Space group: I4mm
- ΔH_f (0 K): -0.789 eV/f.u.
- Mass density: 8.3 g cm⁻³


Record 11
Here is crystalline NaAcCuAs2 at its relaxed geometry from the Alexandria database. Energies are from PBE.

```
NaAcCuAs2
1.0
5.444 0.000 0.000
0.000 6.712 0.000
0.000 0.000 6.315
Na Ac Cu As
2 2 2 4
direct
0.250 0.000 0.097 Na
0.750 0.000 0.903 Na
0.250 0.500 0.274 Ac
0.750 0.500 0.726 Ac
0.000 0.000 0.500 Cu
0.500 0.000 0.500 Cu
0.250 0.251 0.719 As
0.250 0.749 0.719 As
0.750 0.251 0.281 As
0.750 0.749 0.281 As
```

Results
- Space group: Pmma
- ΔH_f (0 K): -2.638 eV/f.u.
- Mass density: 6.7 g cm⁻³


Record 12
Here is crystalline TaIn2Fe2 at its relaxed geometry from the Alexandria database. Energies are from PBE.

```
TaIn2Fe2
1.0
6.328 0.000 0.000
0.000 6.328 0.000
0.000 0.000 4.164
Ta In Fe
2 4 4
direct
0.000 0.000 0.000 Ta
0.500 0.500 0.000 Ta
0.177 0.323 0.500 In
0.323 0.823 0.500 In
0.677 0.177 0.500 In
0.823 0.677 0.500 In
0.124 0.624 0.000 Fe
0.376 0.124 0.000 Fe
0.624 0.876 0.000 Fe
0.876 0.376 0.000 Fe
```

Results
- Space group: P4/mbm
- ΔH_f (0 K): 1.346 eV/f.u.
- Mass density: 10.4 g cm⁻³


| no. | uncorrected energy (eV/atom) |
| --- | --- |
| 1 | -4.42 |
| 2 | -6.72 |
| 3 | -2.96 |
| 4 | -2.02 |
| 5 | -3.07 |
| 6 | -3.43 |
| 7 | -8.87 |
| 8 | -5.07 |
| 9 | -2.11 |
| 10 | -3.02 |
| 11 | -4.29 |
| 12 | -6.58 |